# Ca2TaHg

Crystalline Ca2TaHg at its relaxed geometry (PBE-GGA, Alexandria via LeMat-Bulk).

Cell lengths 11.0329, 11.0329, 11.0329 Å; angles 17.24, 17.24, 17.24 degrees
With the nearest neighbours (Å) after each atom.
Element x y z (fractional)
Ca  0.4970  0.4970  0.4970  3 Ta 3.24, 6 Ca 3.31, 3 Hg 3.40
Ca  0.0030  0.0030  0.0030  3 Ta 3.24, 6 Ca 3.31, 3 Hg 3.40
Ta  0.7500  0.7500  0.7500  6 Ca 3.24, 6 Ta 3.31
Hg  0.2500  0.2500  0.2500  6 Hg 3.31, 6 Ca 3.40

---

# La3NdY2As6

Crystalline La3NdY2As6 at its relaxed geometry (PBE-GGA, Alexandria via LeMat-Bulk).

Cell lengths 7.4082, 7.4082, 7.4027 Å; angles 99.60, 99.60, 120.00 degrees
With the nearest neighbours (Å) after each atom.
Element x y z (fractional)
La  0.5000  0.5000  0.5000  6 As 3.04-3.08
La  0.1658  0.8342  0.5000  6 As 3.04-3.08
La  0.8342  0.1658  0.5000  6 As 3.04-3.08
As  0.2581  0.2581  0.7603  2 Y 2.97, 1 Nd 3.01, 3 La 3.04-3.07
As  0.0802  0.4181  0.2405  2 Y 2.97, 1 Nd 3.01, 3 La 3.04-3.08
As  0.7419  0.7419  0.2397  2 Y 2.97, 1 Nd 3.01, 3 La 3.04-3.07
As  0.4181  0.0802  0.2405  2 Y 2.97, 1 Nd 3.01, 3 La 3.04-3.08
As  0.9198  0.5819  0.7595  2 Y 2.97, 1 Nd 3.01, 3 La 3.04-3.08
As  0.5819  0.9198  0.7595  2 Y 2.97, 1 Nd 3.01, 3 La 3.04-3.08
Y  0.3330  0.6670  0.0000  6 As 2.97
Y  0.6670  0.3330  0.0000  6 As 2.97
Nd  0.0000  0.0000  0.0000  6 As 3.01

---

# Y2NpFe2

Crystalline Y2NpFe2 at its relaxed geometry (PBE-GGA, Alexandria via LeMat-Bulk).

Cell lengths 5.6660, 5.6660, 7.4466 Å; angles 81.41, 81.41, 61.52 degrees
With the nearest neighbours (Å) after each atom.
Element x y z (fractional)
Y  0.2375  0.4581  0.6508  6 Fe 3.03-3.21, 2 Np 3.34-3.37
Y  0.7625  0.5419  0.3492  6 Fe 3.03-3.21, 2 Np 3.34-3.37
Y  0.5419  0.7625  0.8492  6 Fe 3.03-3.21, 2 Np 3.34-3.37
Y  0.4581  0.2375  0.1508  6 Fe 3.03-3.21, 2 Np 3.34-3.37
Np  0.8941  0.1059  0.7500  4 Fe 2.26-2.43
Np  0.1059  0.8941  0.2500  4 Fe 2.26-2.43
Fe  0.0034  0.2285  0.9877  2 Np 2.26-2.43
Fe  0.7715  0.9966  0.5123  2 Np 2.26-2.43
Fe  0.2285  0.0034  0.4877  2 Np 2.26-2.43
Fe  0.9966  0.7715  0.0123  2 Np 2.26-2.43

---

Let's list ΔE_f in order: 366, -1550, -50 meV/atom.
Let's list total energy in order: -14.69, -78.97, -86.09 eV for the cell shown.